No. 1
A relaxed structure of AcSmDyCd. Source: Alexandria, functional PBE.

The structure belongs to space group F-43m (No. 216); the cell edges are 7.9945, 7.9945 and 7.9945 Å and the angles 90.00°, 90.00° and 90.00°. The distinct sites, in fractional coordinates, are Ac at (0.0000, 0.0000, 0.0000), Sm at (0.2500, 0.2500, 0.2500), Dy at (0.2500, 0.2500, 0.7500) and Cd at (0.0000, 0.0000, 0.5000).

The formation enthalpy at 0 K is 0.06 eV per atom. As for the energy above the most stable polymorph in this dataset: 191 meV per atom.

No. 2
A relaxed structure of AcSiHgPd6. Source: Alexandria, functional PBE.

The structure belongs to space group Imma (No. 74); the cell edges are 6.5454, 9.4426 and 11.6263 Å and the angles 90.00°, 90.00° and 90.00°. The distinct sites, in fractional coordinates, are Ac at (0.0000, 0.2500, 0.1872), Si at (0.0000, 0.0000, 0.5000), Hg at (0.2500, 0.2500, 0.7500), Pd at (0.0000, 0.2500, 0.4470), Pd at (0.0000, 0.2500, 0.9446) and Pd at (0.2248, 0.0043, 0.8758).

For the raw formation energy, the calculation gives -0.3274 eV per atom.

No. 3
A relaxed structure of CsLiHg2I. Source: Alexandria, functional PBE.

The structure belongs to space group P4/mmm (No. 123); the cell edges are 5.5641, 5.5641 and 5.9339 Å and the angles 90.00°, 90.00° and 90.00°. The distinct sites, in fractional coordinates, are Cs at (0.0000, 0.0000, 0.0000), Li at (0.5000, 0.5000, 0.5000), Hg at (0.0000, 0.5000, 0.5000) and I at (0.5000, 0.5000, 0.0000).

For the raw formation energy, the calculation gives -0.5720 eV per atom.

No. 4
A relaxed structure of TiPdBr2. Source: Alexandria, functional PBE.

The structure belongs to space group Fm-3m (No. 225); the cell edges are 6.6874, 6.6874 and 6.6874 Å and the angles 90.00°, 90.00° and 90.00°. The distinct sites, in fractional coordinates, are Ti at (0.0000, 0.0000, 0.0000), Pd at (0.0000, 0.0000, 0.5000) and Br at (0.2500, 0.2500, 0.2500).

As for the energy above the most stable polymorph in this dataset: 347 meV per atom. For the raw formation energy, the calculation gives -0.0416 eV per atom.

Mass density? In order: 8479; 10114; 6037; 6976 kg/m3.
DOS(E_F)? In order: 26.093; 13.799; 2.756; 29.092 states/eV/cell.
Total energy? In order: -0.129; -0.179; -0.057; -0.153 Ha/atom.